LiAlSb2 at its PBEsol-relaxed geometry. Source: Alexandria, functional SCAN.

a = 5.0473 Å, b = 5.0473 Å, c = 5.0473 Å
α = 60.00°, β = 60.00°, γ = 60.00°
Element x y z (fractional)
Li: 0.7500 0.7500 0.7500
Al: 0.5000 0.5000 0.5000
Sb: 0.2500 0.2500 0.2500
Sb: 0.0000 0.0000 0.0000

Properties
- ΔE_f (raw) (eV/f.u.) = 0.52

---

Li2AlSb at its PBEsol-relaxed geometry. Source: Alexandria, functional SCAN.

a = 2.9734 Å, b = 5.1267 Å, c = 5.1267 Å
α = 109.51°, β = 90.00°, γ = 90.00°
Element x y z (fractional)
Al: 0.5000 0.5000 0.5000
Li: 0.0000 0.5000 0.0000
Li: 0.0000 0.0000 0.5000
Sb: 0.5000 0.0000 0.0000

Properties
- ΔE_f (raw) (eV/f.u.) = -1.08

---

LiAlSb2 at its PBEsol-relaxed geometry. Source: Alexandria, functional SCAN.

a = 6.6509 Å, b = 6.9372 Å, c = 6.6509 Å
α = 61.36°, β = 90.00°, γ = 118.64°
Element x y z (fractional)
Li: 0.2500 0.5000 0.2500
Li: 0.5000 0.0000 0.5000
Sb: 0.8750 0.2500 0.6304
Sb: 0.3750 0.2500 0.1196
Sb: 0.6304 0.7500 0.3750
Sb: 0.1196 0.7500 0.8750
Al: 0.7500 0.5000 0.7500
Al: 0.0000 0.0000 0.0000

Properties
- ΔE_f (raw) (eV/f.u.) = 0.29

---

Li2AlSb at its PBEsol-relaxed geometry. Source: Alexandria, functional SCAN.

a = 3.0329 Å, b = 4.8341 Å, c = 5.5957 Å
α = 98.66°, β = 90.00°, γ = 108.28°
Element x y z (fractional)
Li: 0.2526 0.5052 0.2456
Li: 0.7474 0.4948 0.7544
Al: 0.5000 0.0000 0.0000
Sb: 0.0000 0.0000 0.5000

Properties
- ΔE_f (raw) (eV/f.u.) = -0.75

---

Li2AlSb at its PBEsol-relaxed geometry. Source: Alexandria, functional SCAN.

a = 4.1392 Å, b = 4.1392 Å, c = 5.1908 Å
α = 113.50°, β = 113.50°, γ = 90.00°
Element x y z (fractional)
Li: 0.0000 0.0000 0.0000
Li: 0.7500 0.2500 0.5000
Sb: 0.5000 0.5000 0.0000
Al: 0.2500 0.7500 0.5000

Properties
- ΔE_f (raw) (eV/f.u.) = -1.05

---

LiAl2Sb2 at its PBEsol-relaxed geometry. Source: Alexandria, functional SCAN.

a = 4.1226 Å, b = 4.1226 Å, c = 7.7261 Å
α = 105.47°, β = 105.47°, γ = 90.00°
Element x y z (fractional)
Al: 0.2500 0.7500 0.5000
Al: 0.7500 0.2500 0.5000
Sb: 0.3821 0.3821 0.7643
Sb: 0.6179 0.6179 0.2357
Li: 0.0000 0.0000 0.0000

Properties
- ΔE_f (raw) (eV/f.u.) = -0.03

---

LiAl2Sb at its PBEsol-relaxed geometry. Source: Alexandria, functional SCAN.

a = 2.9965 Å, b = 4.7198 Å, c = 6.0926 Å
α = 112.13°, β = 103.25°, γ = 92.48°
Element x y z (fractional)
Li: 0.0000 0.0000 0.0000
Al: 0.5000 0.5000 0.5000
Al: 0.0000 0.0000 0.5000
Sb: 0.5000 0.5000 0.0000

Properties
- ΔE_f (raw) (eV/f.u.) = -0.21

---

LiAlSb2 at its PBEsol-relaxed geometry. Source: Alexandria, functional SCAN.

a = 3.0852 Å, b = 3.0852 Å, c = 9.4151 Å
α = 90.00°, β = 90.00°, γ = 90.00°
Element x y z (fractional)
Li: 0.5000 0.5000 0.7347
Al: 0.0000 0.0000 0.5145
Sb: 0.5000 0.5000 0.2920
Sb: 0.0000 0.0000 0.9589

Properties
- ΔE_f (raw) (eV/f.u.) = 0.03

---

LiAlSb2 at its PBEsol-relaxed geometry. Source: Alexandria, functional SCAN.

a = 3.2614 Å, b = 5.2506 Å, c = 5.2506 Å
α = 104.71°, β = 90.13°, γ = 90.13°
Element x y z (fractional)
Sb: 0.0000 0.0000 0.5000
Sb: 0.0000 0.5000 0.0000
Li: 0.5000 0.5000 0.5000
Al: 0.5000 0.0000 0.0000

Properties
- ΔE_f (raw) (eV/f.u.) = -0.37

---

Li2AlSb at its PBEsol-relaxed geometry. Source: Alexandria, functional SCAN.

a = 4.0878 Å, b = 4.0878 Å, c = 5.2126 Å
α = 113.09°, β = 113.09°, γ = 90.00°
Element x y z (fractional)
Li: 0.7500 0.2500 0.5000
Li: 0.2500 0.7500 0.5000
Al: 0.0000 0.0000 0.0000
Sb: 0.5000 0.5000 0.0000

Properties
- ΔE_f (raw) (eV/f.u.) = -1.18

---

Li2AlSb at its PBEsol-relaxed geometry. Source: Alexandria, functional SCAN.

a = 4.0877 Å, b = 4.0877 Å, c = 10.0374 Å
α = 101.75°, β = 101.75°, γ = 90.00°
Element x y z (fractional)
Al: 0.7500 0.2500 0.5000
Al: 0.5000 0.5000 0.0000
Sb: 0.0000 0.0000 0.0000
Sb: 0.2500 0.7500 0.5000
Li: 0.3729 0.8750 0.2500
Li: 0.1250 0.1229 0.7500
Li: 0.8771 0.3750 0.2500
Li: 0.6250 0.6271 0.7500

Properties
- ΔE_f (raw) (eV/f.u.) = -0.45

---

LiScAl at its PBEsol-relaxed geometry. Source: Alexandria, functional SCAN.

a = 2.9874 Å, b = 4.6294 Å, c = 4.6294 Å
α = 120.00°, β = 90.00°, γ = 90.00°
Site moments in Bohr magnetons follow the coordinates.
Element x y z (fractional)
Sc: 0.5000 0.3333 0.6667  0.15
Al: 0.0000 0.0000 0.0000  -0.01
Li: 0.0000 0.6667 0.3333  0.00

Properties
- calculated total energy (Ha/atom) = -0.3064

---

| no. | DOS(E_F) (states/eV per cell) |
| --- | --- |
| 1 | 2.72 |
| 2 | 1.38 |
| 3 | 5.11 |
| 4 | 1.46 |
| 5 | 0.88 |
| 6 | 2.04 |
| 7 | 1.56 |
| 8 | 1.31 |
| 9 | 1.46 |
| 10 | 1.07 |
| 11 | 3.33 |
| 12 | 1.27 |